Material: Dy2Ga7Pd
Method: DFT, PBE
State: optimized geometry

As for the mass density: 8.030 g/cm³. The energy of formation is -500 meV/atom. For the final energy, the calculation gives -4.059 eV per atom.

abc: 4.1880 4.1880 10.8407
angles: 90.00 90.00 90.00
Closest atoms and distances in Å follow each position.
Space group P-4m2 (No. 115)
Asymmetric unit:
Dy 0.0000 0.5000 0.2445  14 Ga 3.20-3.47, 2 Pd 3.38
Ga 0.0000 0.0000 0.0000  4 Ga 2.55
Ga 0.0000 0.0000 0.5000  4 Ga 2.60
Ga 0.0000 0.5000 0.6424  5 Ga 2.43-2.60
Ga 0.0000 0.5000 0.8664  3 Ga 2.43-2.55, 2 Pd 2.55
Ga 0.5000 0.5000 0.5000  4 Ga 2.60
Pd 0.5000 0.5000 0.0000  4 Ga 2.55